Here is a geometry-optimized SnTeCl structure from the Alexandria database. Energies are from PBE.

* V: 31.26 Å³ per atom
* formation energy from raw total energies: -0.348 eV per atom

Unit cell a=7.2122 b=7.2122 c=7.2122 alpha=90.00 beta=90.00 gamma=90.00
Closest atoms and distances in Å follow each position.
Space group F-43m (No. 216)
Unique sites:
Sn (0.0000, 0.0000, 0.0000) x4  4 Cl 3.12, 4 Te 3.12
Te (0.2500, 0.2500, 0.2500) x4  4 Sn 3.12
Cl (0.2500, 0.2500, 0.7500) x4  4 Sn 3.12